# PBE ErZrIrRu, relaxed
data_ErZrIrRu
_symmetry_space_group_name_H-M 'P 4 m m'
_symmetry_Int_Tables_number 99
_symmetry_space_group_name_Hall 'P 4 -2'
_cell_length_a 3.359
_cell_length_b 3.359
_cell_length_c 6.611
_cell_angle_alpha 90.00
_cell_angle_beta 90.00
_cell_angle_gamma 90.00
loop_
_atom_site_label
_atom_site_type_symbol
_atom_site_fract_x
_atom_site_fract_y
_atom_site_fract_z
Er1 Er 0.000 0.000 0.000
Zr1 Zr 0.000 0.000 0.499
Ir1 Ir 0.500 0.500 0.735
Ru1 Ru 0.500 0.500 0.265
# Energy above the most stable polymorph in this dataset   0.000 eV/atom
# Spin magnetization   0.0 μB/cell
# DOS(E_F)   0.434 states/eV per atom